# Ga2CuAgSe4, relaxed, DFT PBE
data_Ga2CuAgSe4
_cell_length_a 6.251
_cell_length_b 6.251
_cell_length_c 6.251
_cell_angle_alpha 112.20
_cell_angle_beta 112.20
_cell_angle_gamma 104.15
_space_group_name_H-M_alt 'P 1'
_space_group_IT_number 1
_space_group_name_Hall 'P 1'
loop_
_atom_site_label
_atom_site_type_symbol
_atom_site_fract_x
_atom_site_fract_y
_atom_site_fract_z
Ga1 Ga 0.750 0.250 0.500
Ga2 Ga 0.250 0.750 0.500
Cu1 Cu 0.000 0.000 0.000
Ag1 Ag 0.500 0.500 0.000
Se1 Se 0.605 0.605 0.649
Se2 Se 0.043 0.395 0.000
Se3 Se 0.395 0.043 0.000
Se4 Se 0.957 0.957 0.351
# excess energy over the best structure of this formula in the dataset	354	meV per atom
# calculated volume	23.3	A^3/atom
# formation energy without anion corrections	-106	meV per atom